[1]
Compound: P2PdI
Source: Alexandria via LeMat-Bulk
Functional: PBE-GGA
Structure: optimized geometry

a = 4.715 Å, b = 4.715 Å, c = 4.715 Å
α = 60.00°, β = 60.00°, γ = 60.00°
Fractional positions:
P (0.250, 0.250, 0.250)
P (0.750, 0.750, 0.750)
Pd (0.000, 0.000, 0.000)
I (0.500, 0.500, 0.500)

Computed properties:
crystal system	cubic
volume	74.1	Å³ per cell
E above lowest polymorph	517	meV per atom
VASP energy	-3.508	eV/atom
total magnetization	0.00	Bohr magnetons per cell
E_form (uncorrected)	0.883	eV per atom
symmetry	Fm-3m, No. 225

[2]
Compound: BC2
Source: Alexandria via LeMat-Bulk
Functional: PBE-GGA
Structure: optimized geometry

a = 4.679 Å, b = 2.571 Å, c = 6.389 Å
α = 90.00°, β = 95.00°, γ = 90.00°
Fractional positions:
B (0.000, 0.000, 0.000)
B (0.071, 0.000, 0.717)
B (0.196, 0.500, 0.406)
B (0.696, 0.000, 0.675)
C (0.228, 0.500, 0.657)
C (0.360, 0.000, 0.071)
C (0.382, 0.000, 0.312)
C (0.519, 0.500, 0.995)
C (0.525, 0.500, 0.758)
C (0.707, 0.000, 0.408)
C (0.830, 0.500, 0.086)
C (0.856, 0.500, 0.325)

Computed properties:
crystal system	monoclinic
volume	76.6	Å³ per cell
E above lowest polymorph	104	meV per atom
VASP energy	-8.031	eV/atom
total magnetization	0.00	Bohr magnetons per cell
symmetry	Pm, No. 6
formation enthalpy at 0 K	0.3442	eV/atom

[3]
Compound: SrTi2Cl2
Source: Alexandria via LeMat-Bulk
Functional: PBE-GGA
Structure: optimized geometry

a = 5.750 Å, b = 5.750 Å, c = 5.750 Å
α = 129.89°, β = 129.89°, γ = 73.59°
Fractional positions:
Sr (0.000, 0.000, 0.000)
Ti (0.389, 0.389, 0.000)
Ti (0.611, 0.611, 0.000)
Cl (0.250, 0.750, 0.500)
Cl (0.750, 0.250, 0.500)

Computed properties:
crystal system	tetragonal
volume	109.2	Å³ per cell
E above lowest polymorph	0	meV per atom
VASP energy	-4.614	eV/atom
total magnetization	0.90	Bohr magnetons per cell
E_form (uncorrected)	-0.381	eV per atom
symmetry	I4/mmm, No. 139

[4]
Compound: Pr3ErHg6
Source: Alexandria via LeMat-Bulk
Functional: PBE-GGA
Structure: optimized geometry

a = 9.475 Å, b = 5.227 Å, c = 11.352 Å
α = 90.00°, β = 106.64°, γ = 90.00°
Fractional positions:
Pr (0.011, 0.250, 0.385)
Pr (0.148, 0.750, 0.216)
Pr (0.275, 0.250, 0.991)
Pr (0.725, 0.750, 0.009)
Pr (0.852, 0.250, 0.784)
Pr (0.989, 0.750, 0.615)
Er (0.442, 0.250, 0.599)
Er (0.558, 0.750, 0.401)
Hg (0.034, 0.750, 0.917)
Hg (0.173, 0.250, 0.697)
Hg (0.270, 0.750, 0.508)
Hg (0.355, 0.750, 0.818)
Hg (0.358, 0.250, 0.310)
Hg (0.442, 0.750, 0.121)
Hg (0.558, 0.250, 0.879)
Hg (0.642, 0.750, 0.690)
Hg (0.645, 0.250, 0.182)
Hg (0.730, 0.250, 0.492)
Hg (0.827, 0.750, 0.303)
Hg (0.966, 0.250, 0.083)

Computed properties:
crystal system	monoclinic
volume	538.6	Å³ per cell
VASP energy	-2.497	eV/atom
total magnetization	0.22	Bohr magnetons per cell
symmetry	P2_1/m, No. 11
formation enthalpy at 0 K	-0.4260	eV/atom

[5]
Compound: YTl2HgH
Source: Alexandria via LeMat-Bulk
Functional: PBE-GGA
Structure: optimized geometry

a = 4.889 Å, b = 4.889 Å, c = 4.570 Å
α = 90.00°, β = 90.00°, γ = 90.00°
Fractional positions:
Y (0.000, 0.000, 0.000)
Tl (0.000, 0.500, 0.500)
Tl (0.500, 0.000, 0.500)
Hg (0.500, 0.500, 0.000)
H (0.000, 0.000, 0.500)

Computed properties:
crystal system	tetragonal
volume	109.2	Å³ per cell
VASP energy	-3.083	eV/atom
total magnetization	0.00	Bohr magnetons per cell
symmetry	P4/mmm, No. 123

[6]
Compound: Pr2HoIn2Rh5
Source: Alexandria via LeMat-Bulk
Functional: PBE-GGA
Structure: optimized geometry

a = 10.523 Å, b = 10.523 Å, c = 3.728 Å
α = 90.00°, β = 90.00°, γ = 90.00°
Fractional positions:
Pr (0.171, 0.329, 0.000)
Pr (0.329, 0.829, 0.000)
Pr (0.671, 0.171, 0.000)
Pr (0.829, 0.671, 0.000)
Ho (0.000, 0.000, 0.000)
Ho (0.500, 0.500, 0.000)
In (0.127, 0.627, 0.000)
In (0.373, 0.127, 0.000)
In (0.627, 0.873, 0.000)
In (0.873, 0.373, 0.000)
Rh (0.000, 0.500, 0.500)
Rh (0.062, 0.798, 0.500)
Rh (0.202, 0.062, 0.500)
Rh (0.298, 0.562, 0.500)
Rh (0.438, 0.298, 0.500)
Rh (0.500, 0.000, 0.500)
Rh (0.562, 0.702, 0.500)
Rh (0.702, 0.438, 0.500)
Rh (0.798, 0.938, 0.500)
Rh (0.938, 0.202, 0.500)

Computed properties:
crystal system	tetragonal
volume	412.9	Å³ per cell
VASP energy	-6.150	eV/atom
total magnetization	0.00	Bohr magnetons per cell
symmetry	P4/mbm, No. 127
formation enthalpy at 0 K	-0.5125	eV/atom

[7]
Compound: Li2AcIr
Source: Alexandria via LeMat-Bulk
Functional: PBE-GGA
Structure: optimized geometry

a = 5.305 Å, b = 5.952 Å, c = 5.933 Å
α = 90.00°, β = 115.34°, γ = 90.00°
Fractional positions:
Li (0.055, 0.032, 0.298)
Li (0.055, 0.468, 0.298)
Li (0.945, 0.532, 0.702)
Li (0.945, 0.968, 0.702)
Ac (0.498, 0.750, 0.204)
Ac (0.502, 0.250, 0.796)
Ir (0.415, 0.750, 0.679)
Ir (0.585, 0.250, 0.321)

Computed properties:
crystal system	monoclinic
volume	169.3	Å³ per cell
E above lowest polymorph	0	meV per atom
VASP energy	-4.443	eV/atom
total magnetization	0.00	Bohr magnetons per cell
symmetry	P2_1/m, No. 11
formation enthalpy at 0 K	-0.2442	eV/atom

[8]
Compound: Tb4Cu3Pt
Source: Alexandria via LeMat-Bulk
Functional: PBE-GGA
Structure: optimized geometry

a = 3.824 Å, b = 4.459 Å, c = 10.381 Å
α = 90.00°, β = 90.00°, γ = 90.00°
Fractional positions:
Tb (0.000, 0.000, 0.000)
Tb (0.000, 0.500, 0.277)
Tb (0.500, 0.000, 0.497)
Tb (0.500, 0.500, 0.777)
Cu (0.000, 0.000, 0.708)
Cu (0.000, 0.500, 0.567)
Cu (0.500, 0.500, 0.059)
Pt (0.500, 0.000, 0.216)

Computed properties:
crystal system	orthorhombic
volume	177.0	Å³ per cell
VASP energy	-5.131	eV/atom
total magnetization	0.00	Bohr magnetons per cell
symmetry	Pmm2, No. 25
formation enthalpy at 0 K	-0.5244	eV/atom

[9]
Compound: LaRe4Si
Source: Alexandria via LeMat-Bulk
Functional: PBE-GGA
Structure: optimized geometry

a = 5.372 Å, b = 5.372 Å, c = 5.372 Å
α = 60.00°, β = 60.00°, γ = 60.00°
Fractional positions:
La (0.000, 0.000, 0.000)
Re (0.129, 0.624, 0.624)
Re (0.624, 0.129, 0.624)
Re (0.624, 0.624, 0.129)
Re (0.624, 0.624, 0.624)
Si (0.250, 0.250, 0.250)

Computed properties:
crystal system	cubic
volume	109.6	Å³ per cell
VASP energy	-9.548	eV/atom
total magnetization	0.00	Bohr magnetons per cell
E_form (uncorrected)	0.475	eV per atom
symmetry	F-43m, No. 216

[10]
Compound: Cs3PaBr8
Source: Alexandria via LeMat-Bulk
Functional: PBE-GGA
Structure: optimized geometry

a = 8.041 Å, b = 8.041 Å, c = 8.041 Å
α = 90.00°, β = 90.00°, γ = 90.00°
Fractional positions:
Cs (0.000, 0.000, 0.500)
Cs (0.000, 0.500, 0.000)
Cs (0.500, 0.000, 0.000)
Pa (0.500, 0.500, 0.500)
Br (0.290, 0.290, 0.290)
Br (0.290, 0.290, 0.710)
Br (0.290, 0.710, 0.290)
Br (0.290, 0.710, 0.710)
Br (0.710, 0.290, 0.290)
Br (0.710, 0.290, 0.710)
Br (0.710, 0.710, 0.290)
Br (0.710, 0.710, 0.710)

Computed properties:
crystal system	cubic
volume	519.8	Å³ per cell
VASP energy	-3.669	eV/atom
total magnetization	0.00	Bohr magnetons per cell
E_form (uncorrected)	-1.549	eV per atom
symmetry	Pm-3m, No. 221

[11]
Compound: Nd2TmCu3
Source: Alexandria via LeMat-Bulk
Functional: PBE-GGA
Structure: optimized geometry

a = 3.516 Å, b = 3.516 Å, c = 10.681 Å
α = 90.00°, β = 90.00°, γ = 90.00°
Fractional positions:
Nd (0.000, 0.000, 0.172)
Nd (0.000, 0.000, 0.828)
Tm (0.000, 0.000, 0.500)
Cu (0.500, 0.500, 0.000)
Cu (0.500, 0.500, 0.352)
Cu (0.500, 0.500, 0.648)

Computed properties:
crystal system	tetragonal
volume	132.0	Å³ per cell
E above lowest polymorph	0	meV per atom
VASP energy	-4.574	eV/atom
total magnetization	0.00	Bohr magnetons per cell
symmetry	P4/mmm, No. 123
formation enthalpy at 0 K	-0.1916	eV/atom

[12]
Compound: La3SnC
Source: Alexandria via LeMat-Bulk
Functional: PBE-GGA
Structure: optimized geometry

a = 9.123 Å, b = 9.123 Å, c = 7.991 Å
α = 103.90°, β = 103.90°, γ = 73.61°
Fractional positions:
La (0.017, 0.204, 0.159)
La (0.043, 0.611, 0.394)
La (0.204, 0.017, 0.659)
La (0.302, 0.424, 0.043)
La (0.389, 0.957, 0.106)
La (0.424, 0.302, 0.543)
La (0.576, 0.698, 0.457)
La (0.611, 0.043, 0.894)
La (0.698, 0.576, 0.957)
La (0.796, 0.983, 0.341)
La (0.957, 0.389, 0.606)
La (0.983, 0.796, 0.841)
Sn (0.158, 0.842, 0.250)
Sn (0.335, 0.665, 0.750)
Sn (0.665, 0.335, 0.250)
Sn (0.842, 0.158, 0.750)
C (0.201, 0.363, 0.301)
C (0.363, 0.201, 0.801)
C (0.637, 0.799, 0.199)
C (0.799, 0.637, 0.699)

Computed properties:
crystal system	monoclinic
volume	608.6	Å³ per cell
VASP energy	-5.892	eV/atom
total magnetization	0.00	Bohr magnetons per cell
symmetry	C2/c, No. 15
formation enthalpy at 0 K	-0.2902	eV/atom

[13]
Compound: NdCuAu2
Source: Alexandria via LeMat-Bulk
Functional: PBE-GGA
Structure: optimized geometry

a = 15.421 Å, b = 7.596 Å, c = 5.486 Å
α = 90.00°, β = 90.00°, γ = 90.00°
Fractional positions:
Nd (0.107, 0.250, 0.239)
Nd (0.140, 0.750, 0.468)
Nd (0.360, 0.250, 0.968)
Nd (0.393, 0.750, 0.739)
Nd (0.607, 0.250, 0.261)
Nd (0.640, 0.750, 0.032)
Nd (0.860, 0.250, 0.532)
Nd (0.893, 0.750, 0.761)
Cu (0.069, 0.750, 0.973)
Cu (0.183, 0.250, 0.733)
Cu (0.317, 0.750, 0.233)
Cu (0.431, 0.250, 0.473)
Cu (0.569, 0.750, 0.527)
Cu (0.683, 0.250, 0.767)
Cu (0.817, 0.750, 0.267)
Cu (0.931, 0.250, 0.027)
Au (0.035, 0.056, 0.739)
Au (0.035, 0.444, 0.739)
Au (0.215, 0.556, 0.948)
Au (0.215, 0.944, 0.948)
Au (0.285, 0.056, 0.448)
Au (0.285, 0.444, 0.448)
Au (0.465, 0.556, 0.239)
Au (0.465, 0.944, 0.239)
Au (0.535, 0.056, 0.761)
Au (0.535, 0.444, 0.761)
Au (0.715, 0.556, 0.552)
Au (0.715, 0.944, 0.552)
Au (0.785, 0.056, 0.052)
Au (0.785, 0.444, 0.052)
Au (0.965, 0.556, 0.261)
Au (0.965, 0.944, 0.261)

Computed properties:
crystal system	orthorhombic
volume	642.6	Å³ per cell
E above lowest polymorph	0	meV per atom
VASP energy	-4.438	eV/atom
total magnetization	0.00	Bohr magnetons per cell
symmetry	Pnma, No. 62
formation enthalpy at 0 K	-0.5833	eV/atom

[14]
Compound: Ce4Co
Source: Alexandria via LeMat-Bulk
Functional: PBE-GGA
Structure: optimized geometry

a = 5.205 Å, b = 5.205 Å, c = 5.205 Å
α = 90.00°, β = 90.00°, γ = 90.00°
Fractional positions:
Ce (0.000, 0.000, 0.000)
Ce (0.000, 0.500, 0.500)
Ce (0.500, 0.000, 0.500)
Ce (0.500, 0.500, 0.000)
Co (0.500, 0.500, 0.500)

Computed properties:
crystal system	cubic
volume	141.0	Å³ per cell
VASP energy	-6.047	eV/atom
total magnetization	2.82	Bohr magnetons per cell
symmetry	Pm-3m, No. 221
formation enthalpy at 0 K	0.1210	eV/atom

[15]
Compound: NdAl2Pt
Source: Alexandria via LeMat-Bulk
Functional: PBE-GGA
Structure: optimized geometry

a = 5.888 Å, b = 5.888 Å, c = 5.888 Å
α = 42.41°, β = 42.41°, γ = 42.41°
Fractional positions:
Nd (0.000, 0.000, 0.000)
Al (0.209, 0.209, 0.209)
Al (0.791, 0.791, 0.791)
Pt (0.500, 0.500, 0.500)

Computed properties:
crystal system	trigonal
volume	84.0	Å³ per cell
VASP energy	-5.442	eV/atom
total magnetization	0.00	Bohr magnetons per cell
symmetry	R-3m, No. 166
formation enthalpy at 0 K	-0.8688	eV/atom

[16]
Compound: KGa2Rh2
Source: Alexandria via LeMat-Bulk
Functional: PBE-GGA
Structure: optimized geometry

a = 6.248 Å, b = 6.248 Å, c = 6.248 Å
α = 139.40°, β = 139.40°, γ = 58.76°
Fractional positions:
K (0.000, 0.000, 0.000)
Ga (0.360, 0.360, 0.000)
Ga (0.640, 0.640, 0.000)
Rh (0.250, 0.750, 0.500)
Rh (0.750, 0.250, 0.500)

Computed properties:
crystal system	tetragonal
volume	102.3	Å³ per cell
E above lowest polymorph	0	meV per atom
VASP energy	-4.685	eV/atom
total magnetization	0.00	Bohr magnetons per cell
symmetry	I4/mmm, No. 139
formation enthalpy at 0 K	-0.3137	eV/atom

[17]
Compound: NpHgI3
Source: Alexandria via LeMat-Bulk
Functional: PBE-GGA
Structure: optimized geometry

a = 9.601 Å, b = 9.601 Å, c = 9.601 Å
α = 50.91°, β = 50.91°, γ = 50.91°
Fractional positions:
Np (0.167, 0.167, 0.167)
Np (0.833, 0.833, 0.833)
Hg (0.385, 0.385, 0.385)
Hg (0.615, 0.615, 0.615)
I (0.080, 0.080, 0.580)
I (0.080, 0.580, 0.080)
I (0.420, 0.920, 0.920)
I (0.580, 0.080, 0.080)
I (0.920, 0.420, 0.920)
I (0.920, 0.920, 0.420)

Computed properties:
crystal system	trigonal
volume	491.6	Å³ per cell
E above lowest polymorph	0	meV per atom
VASP energy	-4.204	eV/atom
total magnetization	8.00	Bohr magnetons per cell
E_form (uncorrected)	-0.626	eV per atom
symmetry	R-3m, No. 166

[18]
Compound: NaScTcAg2
Source: Alexandria via LeMat-Bulk
Functional: PBE-GGA
Structure: optimized geometry

a = 4.641 Å, b = 4.641 Å, c = 4.887 Å
α = 90.00°, β = 90.00°, γ = 90.00°
Fractional positions:
Na (0.000, 0.000, 0.000)
Sc (0.500, 0.500, 0.500)
Tc (0.000, 0.000, 0.500)
Ag (0.000, 0.500, 0.000)
Ag (0.500, 0.000, 0.000)

Computed properties:
crystal system	tetragonal
volume	105.3	Å³ per cell
VASP energy	-3.575	eV/atom
total magnetization	0.96	Bohr magnetons per cell
symmetry	P4/mmm, No. 123
formation enthalpy at 0 K	1.1692	eV/atom

[19]
Compound: Ca2TiSb
Source: Alexandria via LeMat-Bulk
Functional: PBE-GGA
Structure: optimized geometry

a = 6.907 Å, b = 6.907 Å, c = 6.907 Å
α = 101.52°, β = 101.52°, γ = 126.91°
Fractional positions:
Ca (0.105, 0.625, 0.980)
Ca (0.375, 0.355, 0.480)
Ca (0.645, 0.125, 0.020)
Ca (0.875, 0.895, 0.520)
Ti (0.250, 0.750, 0.500)
Ti (0.500, 0.500, 0.000)
Sb (0.000, 0.000, 0.000)
Sb (0.750, 0.250, 0.500)

Computed properties:
crystal system	tetragonal
volume	235.6	Å³ per cell
VASP energy	-3.833	eV/atom
total magnetization	5.11	Bohr magnetons per cell
E_form (uncorrected)	0.172	eV per atom
symmetry	I-42d, No. 122

[20]
Compound: Tm4InPd3
Source: Alexandria via LeMat-Bulk
Functional: PBE-GGA
Structure: optimized geometry

a = 9.967 Å, b = 7.090 Å, c = 4.984 Å
α = 90.00°, β = 90.00°, γ = 90.00°
Fractional positions:
Tm (0.000, 0.237, 0.000)
Tm (0.000, 0.763, 0.000)
Tm (0.250, 0.237, 0.500)
Tm (0.250, 0.763, 0.500)
Tm (0.500, 0.237, 0.000)
Tm (0.500, 0.763, 0.000)
Tm (0.750, 0.237, 0.500)
Tm (0.750, 0.763, 0.500)
In (0.000, 0.500, 0.500)
In (0.500, 0.500, 0.500)
Pd (0.000, 0.000, 0.500)
Pd (0.250, 0.000, 0.001)
Pd (0.250, 0.500, 0.002)
Pd (0.500, 0.000, 0.500)
Pd (0.750, 0.000, 0.999)
Pd (0.750, 0.500, 0.998)

Computed properties:
crystal system	orthorhombic
volume	352.2	Å³ per cell
VASP energy	-5.311	eV/atom
total magnetization	0.00	Bohr magnetons per cell
symmetry	Pmma, No. 51
formation enthalpy at 0 K	-0.7853	eV/atom

[21]
Compound: La2AlInCo
Source: Alexandria via LeMat-Bulk
Functional: PBE-GGA
Structure: optimized geometry

a = 5.267 Å, b = 5.267 Å, c = 4.732 Å
α = 90.00°, β = 90.00°, γ = 90.00°
Fractional positions:
La (0.000, 0.500, 0.000)
La (0.500, 0.000, 0.000)
Al (0.000, 0.000, 0.500)
In (0.500, 0.500, 0.500)
Co (0.000, 0.000, 0.000)

Computed properties:
crystal system	tetragonal
volume	131.3	Å³ per cell
VASP energy	-5.050	eV/atom
total magnetization	0.00	Bohr magnetons per cell
symmetry	P4/mmm, No. 123
formation enthalpy at 0 K	-0.3619	eV/atom

[22]
Compound: TcGe2TePd
Source: Alexandria via LeMat-Bulk
Functional: PBE-GGA
Structure: optimized geometry

a = 4.735 Å, b = 4.735 Å, c = 5.134 Å
α = 90.00°, β = 90.00°, γ = 90.00°
Fractional positions:
Tc (0.000, 0.000, 0.000)
Ge (0.000, 0.500, 0.000)
Ge (0.500, 0.000, 0.000)
Te (0.500, 0.500, 0.500)
Pd (0.000, 0.000, 0.500)

Computed properties:
crystal system	tetragonal
volume	115.1	Å³ per cell
VASP energy	-5.048	eV/atom
total magnetization	0.00	Bohr magnetons per cell
E_form (uncorrected)	0.539	eV per atom
symmetry	P4/mmm, No. 123